Compound: BiPdS2Cl
Source: Alexandria via LeMat-Bulk
Functional: PBE-GGA
Structure: optimized geometry

Lattice parameters (Å, degrees): 5.247 5.247 5.304 90.00 90.00 90.00
Last column: magnetic moment on the atom in μB.
Fractional positions:
S: 0.000 0.500 0.000  0.21
S: 0.500 0.000 0.000  0.21
Bi: 0.000 0.000 0.000  -0.01
Pd: 0.500 0.500 0.500  0.69
Cl: 0.000 0.000 0.500  0.00

Calculated values
For the density of states at the Fermi level, the calculation gives 1.3937 states/eV/atom. As for the uncorrected formation energy: 53.6 kJ per mole of atoms. As for the space-group type: P4/mmm (123).